Density functional theory data (PBE) for YHg3N after structural relaxation.

- magnetization (μB per atom) = 0.00
- calculated density (Mg/m³) = 5.6
- volume (Å³ per cell) = 207
- ΔE_f (raw) (eV/atom) = 1.582

Cell: 5.9181 5.9181 5.9181 Å, 90.00 90.00 90.00°
Closest atoms and distances in Å follow each position.
Space group Pm-3m (No. 221)
One atom of each set of equivalent atoms:
Y 0.0000 0.0000 0.0000 (multiplicity 1)  6 Hg 2.96
Hg 0.0000 0.0000 0.5000 (multiplicity 3)  2 Y 2.96
N 0.5000 0.5000 0.5000 (multiplicity 1)  12 Hg 4.18